# Li6NClF2, optimized geometry, DFT PBE
# Space-group type: C2/m
# DOS at the Fermi energy (states/eV/cell): 0.0
# DFT total energy (eV/cell): -41.7
data_Li6NClF2
_chemical_formula_sum 'Li6 N1 Cl1 F2'
_cell_length_a 5.414
_cell_length_b 5.254
_cell_length_c 6.179
_cell_angle_alpha 115.16
_cell_angle_beta 119.60
_cell_angle_gamma 90.00
_symmetry_space_group_name_H-M 'P 1'
_symmetry_Int_Tables_number 1
_symmetry_space_group_name_Hall 'P 1'
loop_
_atom_site_label
_atom_site_fract_x
_atom_site_fract_y
_atom_site_fract_z
N1 0.000 0.500 0.000
Li1 0.575 0.373 0.746
Li2 0.948 0.381 0.237
Li3 0.052 0.619 0.763
Li4 0.052 0.144 0.763
Li5 0.948 0.856 0.237
Li6 0.425 0.627 0.254
Cl1 0.500 0.000 0.000
F1 0.162 0.264 0.528
F2 0.838 0.736 0.472